No. 1
The following is a DFT calculation (PBE-GGA) of an optimized crystal structure of La8AsRu3Br4.

Cell lengths 8.4957, 9.2081, 8.4962 Å; angles 117.49, 120.00, 90.00 degrees
Last column: nearest neighbours and their distance in Å.
Fractional coordinates of all 16 atoms:
Br: 0.0000 0.0000 0.0000  6 La 3.35-3.47
Br: 0.5000 0.0000 0.0000  6 La 3.33
Br: 0.0000 0.0000 0.5000  6 La 3.35-3.47
Br: 0.5000 0.0000 0.5000  6 La 3.35-3.47
Ru: 0.0000 0.5000 0.5000  6 La 2.83-2.93
Ru: 0.5000 0.5000 0.0000  6 La 2.83-2.94
Ru: 0.5000 0.5000 0.5000  6 La 2.83-2.93
La: 0.7358 0.7069 0.4715  3 Ru 2.93-2.94
La: 0.2855 0.3056 0.0454  2 Ru 2.83, 1 As 2.99
La: 0.2401 0.6944 0.9546  2 Ru 2.83, 1 As 2.99
La: 0.2401 0.6944 0.4801  2 Ru 2.83, 1 As 2.99
La: 0.7145 0.6944 0.9546  2 Ru 2.83, 1 As 2.99
La: 0.7599 0.3056 0.0454  2 Ru 2.83, 1 As 2.99
La: 0.7599 0.3056 0.5199  2 Ru 2.83, 1 As 2.99
La: 0.2642 0.2931 0.5285  3 Ru 2.93-2.94
As: 0.0000 0.5000 0.0000  6 La 2.99

Raw total energy (eV per atom): -5.97
DOS at the Fermi energy (states/eV/cell): 11.856


No. 2
The following is a DFT calculation (PBE-GGA) of an optimized crystal structure of LaAsRuBr2.

Cell lengths 5.1707, 6.0100, 5.1707 Å; angles 90.00, 90.00, 90.00 degrees
Last column: nearest neighbours and their distance in Å.
Fractional coordinates of all 5 atoms:
La: 0.0000 0.5000 0.0000  2 As 3.00
Br: 0.0000 0.0000 0.5000  2 As 2.59
Br: 0.5000 0.0000 0.0000  2 As 2.59
As: 0.0000 0.0000 0.0000  4 Br 2.59
Ru: 0.5000 0.5000 0.5000  4 La 3.66, 8 Br 3.96

Distance to the lowest polymorph of the same formula (meV/atom): 964
DOS at the Fermi energy (states/eV/cell): 8.709


No. 3
The following is a DFT calculation (PBE-GGA) of an optimized crystal structure of La4AsS2Br.

Cell lengths 4.2497, 7.4087, 7.3785 Å; angles 70.74, 90.00, 90.00 degrees
Last column: nearest neighbours and their distance in Å.
Fractional coordinates of all 8 atoms:
La: 0.0000 0.7671 0.7586  3 S 2.86-2.99, 2 As 3.05, 1 Br 3.17
La: 0.0000 0.2329 0.2414  3 S 2.86-2.99, 2 As 3.05, 1 Br 3.17
La: 0.5000 0.2218 0.7737  3 S 2.86-3.00, 1 As 3.05, 2 Br 3.18
La: 0.5000 0.7782 0.2263  3 S 2.86-3.00, 1 As 3.05, 2 Br 3.18
Br: 0.0000 0.5000 0.5000  6 La 3.17-3.18
As: 0.5000 0.5000 0.0000  6 La 3.05
S: 0.5000 0.0000 0.5000  6 La 2.99-3.00
S: 0.0000 0.0000 0.0000  6 La 2.86

Raw total energy (eV per atom): -6.13
DOS at the Fermi energy (states/eV/cell): 3.875